[1]
# AcHgPt2

A geometry-optimized AcHgPt2 structure (GGA-PBE, the Alexandria database).

a b c (Å): 8.007 4.425 10.850
angles (deg): 90.00 90.00 90.00
Space group Pnma (No. 62)
Asymmetric unit:
Ac: 0.157 0.250 0.145 [4 per cell]
Hg: 0.023 0.750 0.398 [4 per cell]
Pt: 0.126 0.250 0.829 [4 per cell]
Pt: 0.246 0.750 0.940 [4 per cell]

Computed properties:
Energy relative to the elements in eV/f.u.: -3.1
Size of the total moment in μB/cell: 0.000
Calculated volume in Å³/cell: 384.5

=====

[2]
# AcHg3Pt

A geometry-optimized AcHg3Pt structure (GGA-PBE, the Alexandria database).

a b c (Å): 4.917 4.999 11.254
angles (deg): 90.00 90.00 90.00
Space group Amm2 (No. 38)
Asymmetric unit:
Ac: 0.000 0.000 0.000 [2 per cell]
Hg: 0.000 0.000 0.701 [2 per cell]
Hg: 0.500 0.000 0.202 [2 per cell]
Hg: 0.500 0.000 0.480 [2 per cell]
Pt: 0.000 0.000 0.337 [2 per cell]

Computed properties:
Energy relative to the elements in eV/f.u.: -2.0
Size of the total moment in μB/cell: 0.000
Calculated volume in Å³/cell: 276.6

=====

[3]
# Ac2HgPt3

A geometry-optimized Ac2HgPt3 structure (GGA-PBE, the Alexandria database).

a b c (Å): 8.117 9.834 15.585
angles (deg): 90.00 90.00 90.00
Space group Fmmm (No. 69)
Asymmetric unit:
Ac: 0.241 0.000 0.000 [8 per cell]
Ac: 0.250 0.250 0.250 [8 per cell]
Hg: 0.000 0.000 0.333 [8 per cell]
Pt: 0.000 0.000 0.156 [8 per cell]
Pt: 0.000 0.248 0.087 [16 per cell]

Computed properties:
Energy relative to the elements in eV/f.u.: -5.3
Size of the total moment in μB/cell: 0.000
Calculated volume in Å³/cell: 1244.0

=====

[4]
# AcHgPt2

A geometry-optimized AcHgPt2 structure (GGA-PBE, the Alexandria database).

a b c (Å): 4.7345 4.7345 14.8681
angles (deg): 90.00 90.00 120.00
Space group R-3m (No. 166, hexagonal axes)
Asymmetric unit:
Ac: 0.0000 0.0000 0.0000 [3 per cell]
Hg: 0.0000 0.0000 0.5000 [3 per cell]
Pt: 0.0000 0.0000 0.2111 [6 per cell]

Computed properties:
Energy relative to the elements in eV/f.u.: -2.9
Size of the total moment in μB/cell: 0.000
Calculated volume in Å³/cell: 288.6

=====

[5]
# Ac2HgPt9

A geometry-optimized Ac2HgPt9 structure (GGA-PBE, the Alexandria database).

a b c (Å): 5.5656 5.5656 26.8092
angles (deg): 90.00 90.00 120.00
Space group R-3m (No. 166, hexagonal axes)
Asymmetric unit:
Ac: 0.0000 0.0000 0.1346 [6 per cell]
Hg: 0.0000 0.0000 0.0000 [3 per cell]
Pt: 0.0000 0.0000 0.3321 [6 per cell]
Pt: 0.0000 0.0000 0.5000 [3 per cell]
Pt: 0.0036 0.5018 0.9172 [18 per cell]

Computed properties:
Energy relative to the elements in eV/f.u.: -6.9
Size of the total moment in μB/cell: 0.000
Calculated volume in Å³/cell: 719.2

=====

[6]
# Ac6HgPt5

A geometry-optimized Ac6HgPt5 structure (GGA-PBE, the Alexandria database).

a b c (Å): 7.748 13.326 7.681
angles (deg): 90.00 109.42 90.00
Space group C2/m (No. 12)
Asymmetric unit:
Ac: 0.231 0.000 0.256 [4 per cell]
Ac: 0.235 0.177 0.739 [8 per cell]
Hg: 0.000 0.500 0.000 [2 per cell]
Pt: 0.000 0.000 0.500 [2 per cell]
Pt: 0.000 0.168 0.000 [4 per cell]
Pt: 0.000 0.340 0.500 [4 per cell]

Computed properties:
Energy relative to the elements in eV/f.u.: -12.6
Size of the total moment in μB/cell: 0.000
Calculated volume in Å³/cell: 747.9

=====

[7]
# Ac8HgPt2

A geometry-optimized Ac8HgPt2 structure (GGA-PBE, the Alexandria database).

a b c (Å): 9.246 14.629 6.364
angles (deg): 90.00 104.75 90.00
Space group Cm (No. 8)
Asymmetric unit:
Ac: 0.000 0.000 0.000 [2 per cell]
Ac: 0.100 0.371 0.796 [4 per cell]
Ac: 0.173 0.129 0.610 [4 per cell]
Ac: 0.263 0.500 0.389 [2 per cell]
Ac: 0.389 0.235 0.198 [4 per cell]
Hg: 0.385 0.000 0.096 [2 per cell]
Pt: 0.386 0.296 0.697 [4 per cell]

Computed properties:
Energy relative to the elements in eV/f.u.: -4.4
Size of the total moment in μB/cell: 0.000
Calculated volume in Å³/cell: 832.4

=====

[8]
# Ac4HgPt

A geometry-optimized Ac4HgPt structure (GGA-PBE, the Alexandria database).

a b c (Å): 15.002 15.002 15.002
angles (deg): 90.00 90.00 90.00
Space group F-43m (No. 216)
Asymmetric unit:
Ac: 0.000 0.000 0.187 [24 per cell]
Ac: 0.058 0.250 0.750 [24 per cell]
Ac: 0.101 0.101 0.399 [16 per cell]
Hg: 0.164 0.164 0.164 [16 per cell]
Pt: 0.106 0.106 0.606 [16 per cell]

Computed properties:
Energy relative to the elements in eV/f.u.: -3.3
Size of the total moment in μB/cell: 0.000
Calculated volume in Å³/cell: 3376.4